This record from the Alexandria database describes BeSbTeI2 after structural relaxation. The functional is PBE.

The structure belongs to space group P4/mmm (No. 123); the cell edges are 5.0723, 5.0723 and 5.4588 Å and the angles 90.00°, 90.00° and 90.00°. Symmetry generates all atoms from Be at (0.0000, 0.0000, 0.0000), Sb at (0.5000, 0.5000, 0.5000), Te at (0.0000, 0.0000, 0.5000) and I at (0.0000, 0.5000, 0.0000).

The value obtained for the relative energy among the computed polymorphs is 0.000 eV per atom. The value obtained for the uncorrected formation energy is 6.69 kcal/mol of atoms. The calculation puts the raw total energy at -12.6 eV for the cell shown.

This record from the Alexandria database describes TiBeSbI2 after structural relaxation. The functional is PBE.

The structure belongs to space group P4/mmm (No. 123); the cell edges are 5.0837, 5.0837 and 5.0773 Å and the angles 90.00°, 90.00° and 90.00°. Symmetry generates all atoms from Ti at (0.0000, 0.0000, 0.0000), Be at (0.5000, 0.5000, 0.5000), Sb at (0.5000, 0.5000, 0.0000) and I at (0.0000, 0.5000, 0.5000).

The value obtained for the relative energy among the computed polymorphs is 0.158 eV per atom. The value obtained for the uncorrected formation energy is 15.97 kcal/mol of atoms. The calculation puts the raw total energy at -15.4 eV for the cell shown.